No. 1
This record from Alexandria describes a relaxed MgPtS crystal. The functional is PBE-GGA.

a b c (Å): 5.184 5.184 5.596
angles (deg): 116.68 116.68 64.73
Positions (direct):
Mg (0.000, 0.000, 0.000)
Mg (0.544, 0.544, 0.652)
Pt (0.051, 0.552, 0.156)
Pt (0.552, 0.051, 0.156)
S (0.302, 0.302, 0.823)
S (0.784, 0.784, 0.475)

## Properties
- raw total energy (eV/atom) = -4.619

---

No. 2
This record from Alexandria describes a relaxed MgPtS crystal. The functional is PBE-GGA.

a b c (Å): 4.281 5.131 5.663
angles (deg): 91.83 92.95 100.42
Positions (direct):
Mg (0.000, 0.000, 0.000)
Mg (0.334, 0.378, 0.527)
Pt (0.788, 0.031, 0.422)
Pt (0.833, 0.477, 0.849)
S (0.118, 0.793, 0.618)
S (0.535, 0.253, 0.134)

## Properties
- raw total energy (eV/atom) = -4.572

---

No. 3
This record from Alexandria describes a relaxed MgPtS crystal. The functional is PBE-GGA.

a b c (Å): 3.688 8.151 8.151
angles (deg): 28.40 90.00 90.00
Positions (direct):
Mg (0.000, 0.000, 0.000)
Mg (0.000, 0.242, 0.242)
Pt (0.000, 0.619, 0.619)
Pt (0.500, 0.499, 0.499)
S (0.000, 0.399, 0.399)
S (0.500, 0.723, 0.723)

## Properties
- raw total energy (eV/atom) = -4.671

---

No. 4
This record from Alexandria describes a relaxed MgPtS crystal. The functional is PBE-GGA.

a b c (Å): 3.665 3.564 4.398
angles (deg): 90.00 114.44 90.00
Positions (direct):
Mg (0.000, 0.000, 0.000)
Pt (0.692, 0.500, 0.337)
S (0.363, 0.500, 0.757)

## Properties
- raw total energy (eV/atom) = -4.501

---

No. 5
This record from Alexandria describes a relaxed MgPtS crystal. The functional is PBE-GGA.

a b c (Å): 4.610 4.610 5.394
angles (deg): 90.00 90.00 90.00
Positions (direct):
Mg (0.250, 0.250, 0.149)
Mg (0.750, 0.750, 0.851)
Pt (0.250, 0.250, 0.664)
Pt (0.750, 0.750, 0.336)
S (0.250, 0.750, 0.500)
S (0.750, 0.250, 0.500)

## Properties
- raw total energy (eV/atom) = -4.150

---

No. 6
This record from Alexandria describes a relaxed MgPtS crystal. The functional is PBE-GGA.

a b c (Å): 4.221 4.221 9.034
angles (deg): 90.00 90.00 120.00
Positions (direct):
Mg (0.333, 0.667, 0.250)
Mg (0.667, 0.333, 0.750)
Pt (0.000, 0.000, 0.000)
Pt (0.000, 0.000, 0.500)
S (0.000, 0.000, 0.250)
S (0.000, 0.000, 0.750)

## Properties
- raw total energy (eV/atom) = -4.278

---

No. 7
This record from Alexandria describes a relaxed MgPt3S crystal. The functional is PBE-GGA.

a b c (Å): 4.647 4.647 4.647
angles (deg): 90.00 90.00 90.00
Positions (direct):
Mg (0.000, 0.000, 0.000)
Pt (0.000, 0.000, 0.500)
Pt (0.000, 0.500, 0.000)
Pt (0.500, 0.000, 0.000)
S (0.500, 0.500, 0.500)

## Properties
- raw total energy (eV/atom) = -3.599
- relative energy among the computed polymorphs (eV per atom) = 1.196

---

No. 8
This record from Alexandria describes a relaxed MgPtS crystal. The functional is PBE-GGA.

a b c (Å): 7.341 3.573 8.024
angles (deg): 90.00 90.00 90.00
Positions (direct):
Mg (0.031, 0.250, 0.207)
Mg (0.469, 0.750, 0.707)
Mg (0.531, 0.250, 0.293)
Mg (0.969, 0.750, 0.793)
Pt (0.240, 0.250, 0.906)
Pt (0.260, 0.750, 0.406)
Pt (0.740, 0.250, 0.594)
Pt (0.760, 0.750, 0.094)
S (0.202, 0.250, 0.619)
S (0.298, 0.750, 0.119)
S (0.702, 0.250, 0.881)
S (0.798, 0.750, 0.381)

## Properties
- raw total energy (eV/atom) = -4.468